a | Here is Nb2SbS after structural relaxation from Alexandria. Energies are from PBE.

It has space group Fm-3m (No. 225), with a = 6.596 Å, b = 6.596 Å, c = 6.596 Å, α = 90.00°, β = 90.00° and γ = 90.00°. The asymmetric unit holds Nb at (0.250, 0.250, 0.250), Sb at (0.000, 0.000, 0.000) and S at (0.000, 0.000, 0.500).

b | Here is Nb2SbS after structural relaxation from Alexandria. Energies are from PBE.

It has space group I-42d (No. 122), with a = 4.973 Å, b = 4.973 Å, c = 15.272 Å, α = 90.00°, β = 90.00° and γ = 90.00°. The asymmetric unit holds Nb at (0.164, 0.250, 0.125), Sb at (0.000, 0.000, 0.500) and S at (0.000, 0.000, 0.000).

Stability, lowest: b